No. 1
The following is a DFT calculation (PBE-GGA) of a geometry-optimized NdUCo4 structure.

Computed properties:
For the total magnetization, the calculation gives 0.001 μB/atom. The calculation puts the calculated total energy at -89.56 eV per cell. The density of states at the Fermi level is 1.06 states/eV/atom. The space-group type is No. 12. For the energy relative to the elements, the calculation gives -0.050 eV/atom. The calculation puts the density at 10.71 Mg/m³.

Unit cell a=5.756 b=5.756 c=6.840 alpha=107.69 beta=107.69 gamma=65.00
Fractional coordinates of all 12 atoms:
Nd (0.197, 0.197, 0.297)
Nd (0.803, 0.803, 0.703)
U (0.466, 0.466, 0.742)
U (0.534, 0.534, 0.258)
Co (0.124, 0.669, 0.084)
Co (0.201, 0.799, 0.500)
Co (0.238, 0.238, 0.757)
Co (0.331, 0.876, 0.916)
Co (0.669, 0.124, 0.084)
Co (0.762, 0.762, 0.243)
Co (0.799, 0.201, 0.500)
Co (0.876, 0.331, 0.916)



No. 2
The following is a DFT calculation (PBE-GGA) of a geometry-optimized CrNi9Ge2 structure.

Computed properties:
For the total magnetization, the calculation gives 0.153 μB/atom. The calculation puts the calculated total energy at -73.14 eV per cell. The density of states at the Fermi level is 0.87 states/eV/atom. The space-group type is No. 123. For the energy relative to the elements, the calculation gives -0.188 eV/atom. The calculation puts the density at 8.86 Mg/m³.

Unit cell a=3.567 b=3.567 c=10.690 alpha=90.00 beta=90.00 gamma=90.00
Fractional coordinates of all 12 atoms:
Cr (0.000, 0.000, 0.000)
Ni (0.000, 0.500, 0.163)
Ni (0.000, 0.500, 0.500)
Ni (0.000, 0.500, 0.837)
Ni (0.500, 0.000, 0.163)
Ni (0.500, 0.000, 0.500)
Ni (0.500, 0.000, 0.837)
Ni (0.500, 0.500, 0.000)
Ni (0.500, 0.500, 0.332)
Ni (0.500, 0.500, 0.668)
Ge (0.000, 0.000, 0.333)
Ge (0.000, 0.000, 0.667)



No. 3
The following is a DFT calculation (PBE-GGA) of a geometry-optimized MnTe2Mo structure.

Computed properties:
For the total magnetization, the calculation gives 0.000 μB/atom. The calculation puts the calculated total energy at -24.43 eV per cell. The density of states at the Fermi level is 0.82 states/eV/atom. The value obtained for the uncorrected formation energy is 463 meV per atom. The space-group type is No. 225. The calculation puts the density at 9.55 Mg/m³.

Unit cell a=4.640 b=4.640 c=4.640 alpha=60.00 beta=60.00 gamma=60.00
Fractional coordinates of all 4 atoms:
Mn (0.000, 0.000, 0.000)
Te (0.250, 0.250, 0.250)
Te (0.750, 0.750, 0.750)
Mo (0.500, 0.500, 0.500)



No. 4
The following is a DFT calculation (PBE-GGA) of a geometry-optimized Cs2Sr structure.

Computed properties:
For the total magnetization, the calculation gives 0.009 μB/atom. The calculation puts the calculated total energy at -5.31 eV per cell. The density of states at the Fermi level is 1.46 states/eV/atom. The space-group type is No. 227. For the energy relative to the elements, the calculation gives 0.245 eV/atom. The calculation puts the density at 2.32 Mg/m³.

Unit cell a=8.950 b=8.950 c=8.950 alpha=60.00 beta=60.00 gamma=60.00
Fractional coordinates of all 6 atoms:
Cs (0.000, 0.000, 0.000)
Cs (0.000, 0.000, 0.500)
Cs (0.000, 0.500, 0.000)
Cs (0.500, 0.000, 0.000)
Sr (0.375, 0.375, 0.375)
Sr (0.625, 0.625, 0.625)



No. 5
The following is a DFT calculation (PBE-GGA) of a geometry-optimized SrReS2 structure.

Computed properties:
For the total magnetization, the calculation gives 0.983 μB/atom. The calculation puts the calculated total energy at -22.63 eV per cell. The density of states at the Fermi level is 1.63 states/eV/atom. The value obtained for the uncorrected formation energy is -62 meV per atom. The space-group type is No. 166. The calculation puts the density at 4.27 Mg/m³.

Unit cell a=7.944 b=7.944 c=7.944 alpha=32.88 beta=32.88 gamma=32.88
Fractional coordinates of all 4 atoms:
Sr (0.000, 0.000, 0.000)
Re (0.500, 0.500, 0.500)
S (0.399, 0.399, 0.399)
S (0.601, 0.601, 0.601)



No. 6
The following is a DFT calculation (PBE-GGA) of a geometry-optimized CaMgAu structure.

Computed properties:
For the total magnetization, the calculation gives 0.000 μB/atom. The calculation puts the calculated total energy at -8.46 eV per cell. The density of states at the Fermi level is 0.56 states/eV/atom. The space-group type is No. 187. For the energy relative to the elements, the calculation gives -0.529 eV/atom. The calculation puts the density at 5.79 Mg/m³.

Unit cell a=4.716 b=4.716 c=3.893 alpha=90.00 beta=90.00 gamma=120.00
Fractional coordinates of all 3 atoms:
Ca (0.000, 0.000, 0.000)
Mg (0.667, 0.333, 0.500)
Au (0.333, 0.667, 0.500)



No. 7
The following is a DFT calculation (PBE-GGA) of a geometry-optimized CdIn3Os structure.

Computed properties:
For the total magnetization, the calculation gives 0.000 μB/atom. The calculation puts the calculated total energy at -19.12 eV per cell. The density of states at the Fermi level is 0.47 states/eV/atom. The space-group type is No. 221. For the energy relative to the elements, the calculation gives 0.247 eV/atom. The calculation puts the density at 7.54 Mg/m³.

Unit cell a=5.224 b=5.224 c=5.224 alpha=90.00 beta=90.00 gamma=90.00
Fractional coordinates of all 5 atoms:
Cd (0.000, 0.000, 0.000)
In (0.000, 0.500, 0.500)
In (0.500, 0.000, 0.500)
In (0.500, 0.500, 0.000)
Os (0.500, 0.500, 0.500)



No. 8
The following is a DFT calculation (PBE-GGA) of a geometry-optimized Zn4Os3 structure.

Computed properties:
For the total magnetization, the calculation gives 0.000 μB/atom. The calculation puts the calculated total energy at -37.59 eV per cell. The density of states at the Fermi level is 0.46 states/eV/atom. The space-group type is No. 139. For the energy relative to the elements, the calculation gives 0.171 eV/atom. The calculation puts the density at 13.97 Mg/m³.

Unit cell a=11.844 b=11.844 c=11.844 alpha=165.87 beta=165.87 gamma=20.03
Fractional coordinates of all 7 atoms:
Zn (0.068, 0.068, 0.000)
Zn (0.360, 0.360, 0.000)
Zn (0.640, 0.640, 0.000)
Zn (0.932, 0.932, 0.000)
Os (0.215, 0.215, 0.000)
Os (0.500, 0.500, 0.000)
Os (0.785, 0.785, 0.000)



No. 9
The following is a DFT calculation (PBE-GGA) of a geometry-optimized Mn3Ga2Co7 structure.

Computed properties:
For the total magnetization, the calculation gives 1.477 μB/atom. The calculation puts the calculated total energy at -82.24 eV per cell. The density of states at the Fermi level is 0.98 states/eV/atom. The space-group type is No. 65. For the energy relative to the elements, the calculation gives 0.089 eV/atom. The calculation puts the density at 7.75 Mg/m³.

Unit cell a=9.895 b=9.895 c=3.978 alpha=90.00 beta=90.00 gamma=156.77
Fractional coordinates of all 12 atoms:
Mn (0.000, 0.000, 0.000)
Mn (0.155, 0.845, 0.000)
Mn (0.845, 0.155, 0.000)
Ga (0.350, 0.650, 0.500)
Ga (0.650, 0.350, 0.500)
Co (0.074, 0.926, 0.500)
Co (0.222, 0.778, 0.500)
Co (0.429, 0.571, 0.000)
Co (0.500, 0.500, 0.500)
Co (0.571, 0.429, 0.000)
Co (0.778, 0.222, 0.500)
Co (0.926, 0.074, 0.500)



No. 10
The following is a DFT calculation (PBE-GGA) of a geometry-optimized PrTh2Se6 structure.

Computed properties:
For the total magnetization, the calculation gives 0.107 μB/atom. The calculation puts the calculated total energy at -54.19 eV per cell. The density of states at the Fermi level is 0.18 states/eV/atom. The value obtained for the uncorrected formation energy is -1518 meV per atom. The space-group type is No. 12. The calculation puts the density at 5.83 Mg/m³.

Unit cell a=7.751 b=7.751 c=9.598 alpha=125.24 beta=125.24 gamma=42.72
Fractional coordinates of all 9 atoms:
Pr (0.000, 0.000, 0.000)
Th (0.183, 0.183, 0.608)
Th (0.817, 0.817, 0.392)
Se (0.049, 0.049, 0.731)
Se (0.254, 0.254, 0.372)
Se (0.391, 0.391, 0.972)
Se (0.609, 0.609, 0.028)
Se (0.746, 0.746, 0.628)
Se (0.951, 0.951, 0.269)